[1]
{
  "formula": "ZnI2",
  "functional": "PBE",
  "state": "optimized geometry",
  "cell": [[-3.249, 6.088, 3.287], [3.249, -6.088, 3.287], [3.249, 6.088, -3.287]],
  "species": ["Zn", "Zn", "I", "I", "I", "I"],
  "frac_coords": [[0.250, 0.250, 0.000], [0.750, 0.750, 0.000], [0.121, 0.226, 0.346], [0.379, 0.726, 0.105], [0.621, 0.274, 0.895], [0.879, 0.774, 0.654]],
  "final_energy_ev_per_cell": -12.239
}

=====

[2]
{
  "formula": "TbY2Tl3Ni3",
  "functional": "PBE",
  "state": "optimized geometry",
  "cell": [[3.752, 0.000, 0.000], [0.000, 6.525, 3.779], [0.000, -6.525, 3.779]],
  "species": ["Tb", "Y", "Y", "Tl", "Tl", "Tl", "Ni", "Ni", "Ni"],
  "frac_coords": [[0.000, 0.000, 0.000], [0.000, 0.410, 0.818], [0.000, 0.818, 0.410], [0.500, 0.148, 0.410], [0.500, 0.410, 0.148], [0.500, 0.671, 0.671], [0.000, 0.409, 0.409], [0.500, 0.076, 0.744], [0.500, 0.744, 0.076]],
  "final_energy_ev_per_cell": -44.535
}

=====

[3]
{
  "formula": "Sr2Hg",
  "functional": "PBE",
  "state": "optimized geometry",
  "cell": [[0.000, 5.009, 5.009], [5.009, 0.000, 5.009], [5.009, 5.009, 0.000]],
  "species": ["Sr", "Sr", "Sr", "Sr", "Hg", "Hg"],
  "frac_coords": [[0.000, 0.000, 0.000], [0.000, 0.000, 0.500], [0.000, 0.500, 0.000], [0.500, 0.000, 0.000], [0.375, 0.375, 0.375], [0.625, 0.625, 0.625]],
  "final_energy_ev_per_cell": -5.472
}

=====

[4]
{
  "formula": "KZrSnSe3",
  "functional": "PBE",
  "state": "optimized geometry",
  "cell": [[1.890, -8.467, 0.000], [1.890, 8.467, 0.000], [0.000, 0.000, 11.519]],
  "species": ["K", "K", "Zr", "Zr", "Sn", "Sn", "Se", "Se", "Se", "Se", "Se", "Se"],
  "frac_coords": [[0.178, 0.822, 0.750], [0.822, 0.178, 0.250], [0.500, 0.500, 0.000], [0.500, 0.500, 0.500], [0.129, 0.871, 0.250], [0.871, 0.129, 0.750], [0.114, 0.886, 0.002], [0.114, 0.886, 0.498], [0.499, 0.501, 0.750], [0.501, 0.499, 0.250], [0.886, 0.114, 0.502], [0.886, 0.114, 0.998]],
  "final_energy_ev_per_cell": -58.935
}

=====

[5]
{
  "formula": "PrNdP2Os2O2",
  "functional": "PBE",
  "state": "optimized geometry",
  "cell": [[4.050, 0.000, 0.000], [0.000, 4.050, 0.000], [0.000, 0.000, 8.294]],
  "species": ["Pr", "Nd", "P", "P", "Os", "Os", "O", "O"],
  "frac_coords": [[0.000, 0.000, 0.000], [0.500, 0.500, 0.287], [0.000, 0.000, 0.499], [0.500, 0.500, 0.789], [0.000, 0.500, 0.644], [0.500, 0.000, 0.644], [0.000, 0.500, 0.146], [0.500, 0.000, 0.146]],
  "final_energy_ev_per_cell": -67.306
}

=====

[6]
{
  "formula": "ZrZn",
  "functional": "PBE",
  "state": "optimized geometry",
  "cell": [[5.189, 0.000, 0.000], [0.000, 4.834, 0.000], [-2.587, 0.000, 7.589]],
  "species": ["Zr", "Zr", "Zr", "Zr", "Zr", "Zn", "Zn", "Zn", "Zn", "Zn"],
  "frac_coords": [[0.000, 0.000, 0.000], [0.011, 0.500, 0.793], [0.391, 0.500, 0.587], [0.596, 0.500, 0.999], [0.794, 0.000, 0.587], [0.175, 0.000, 0.386], [0.222, 0.500, 0.201], [0.385, 0.000, 0.793], [0.583, 0.000, 0.201], [0.814, 0.500, 0.385]],
  "ef_mev_per_atom": -51.2
}

=====

[7]
{
  "formula": "PmAgBi",
  "functional": "PBE",
  "state": "optimized geometry",
  "cell": [[0.000, 3.502, 3.502], [3.502, 0.000, 3.502], [3.502, 3.502, 0.000]],
  "species": ["Pm", "Ag", "Bi"],
  "frac_coords": [[0.000, 0.000, 0.000], [0.750, 0.750, 0.750], [0.500, 0.500, 0.500]],
  "de_polymorph_ev_per_atom": 0.000
}

=====

[8]
{
  "formula": "TbErAlSi2",
  "functional": "PBE",
  "state": "optimized geometry",
  "cell": [[-2.037, 2.852, 4.352], [2.037, -2.852, 4.352], [2.037, 2.852, -4.352]],
  "species": ["Tb", "Er", "Al", "Si", "Si"],
  "frac_coords": [[0.000, 0.000, 0.000], [0.579, 0.579, 0.000], [0.289, 0.789, 0.500], [0.000, 0.289, 0.711], [0.578, 0.289, 0.289]],
  "final_energy_ev_per_cell": -27.369
}

=====

[9]
{
  "formula": "Rb4HfO4",
  "functional": "PBE",
  "state": "optimized geometry",
  "cell": [[6.780, 0.000, 0.000], [2.716, 6.219, 0.000], [1.921, 2.658, 9.571]],
  "species": ["Rb", "Rb", "Rb", "Rb", "Rb", "Rb", "Rb", "Rb", "Hf", "Hf", "O", "O", "O", "O", "O", "O", "O", "O"],
  "frac_coords": [[0.213, 0.468, 0.124], [0.237, 0.262, 0.531], [0.259, 0.905, 0.336], [0.277, 0.012, 0.940], [0.723, 0.988, 0.060], [0.741, 0.095, 0.664], [0.763, 0.738, 0.469], [0.787, 0.532, 0.876], [0.275, 0.656, 0.747], [0.725, 0.344, 0.253], [0.042, 0.797, 0.874], [0.133, 0.660, 0.593], [0.449, 0.353, 0.852], [0.461, 0.834, 0.688], [0.539, 0.166, 0.312], [0.551, 0.647, 0.148], [0.867, 0.340, 0.407], [0.958, 0.203, 0.126]],
  "de_polymorph_ev_per_atom": 0.003
}

=====

[10]
{
  "formula": "CsSmNiSe3",
  "functional": "PBE",
  "state": "optimized geometry",
  "cell": [[10.818, 0.000, 0.000], [0.000, 4.221, 0.000], [0.000, 0.000, 15.297]],
  "species": ["Cs", "Cs", "Cs", "Cs", "Sm", "Sm", "Sm", "Sm", "Ni", "Ni", "Ni", "Ni", "Se", "Se", "Se", "Se", "Se", "Se", "Se", "Se", "Se", "Se", "Se", "Se"],
  "frac_coords": [[0.035, 0.250, 0.161], [0.465, 0.750, 0.661], [0.535, 0.250, 0.339], [0.965, 0.750, 0.839], [0.150, 0.750, 0.434], [0.350, 0.250, 0.934], [0.650, 0.750, 0.066], [0.850, 0.250, 0.566], [0.150, 0.250, 0.628], [0.350, 0.750, 0.128], [0.650, 0.250, 0.872], [0.850, 0.750, 0.372], [0.040, 0.750, 0.612], [0.205, 0.750, 0.008], [0.229, 0.250, 0.769], [0.271, 0.750, 0.269], [0.295, 0.250, 0.508], [0.460, 0.250, 0.112], [0.540, 0.750, 0.888], [0.705, 0.750, 0.492], [0.729, 0.250, 0.731], [0.771, 0.750, 0.231], [0.795, 0.250, 0.992], [0.960, 0.250, 0.388]],
  "de_polymorph_ev_per_atom": 0.092
}

=====

[11]
{
  "formula": "KSmAgTe3",
  "functional": "PBE",
  "state": "optimized geometry",
  "cell": [[2.175, -8.129, 0.000], [2.175, 8.129, 0.000], [0.000, 0.000, 11.543]],
  "species": ["K", "K", "Sm", "Sm", "Ag", "Ag", "Te", "Te", "Te", "Te", "Te", "Te"],
  "frac_coords": [[0.245, 0.755, 0.750], [0.755, 0.245, 0.250], [0.000, 0.000, 0.000], [0.000, 0.000, 0.500], [0.466, 0.534, 0.250], [0.534, 0.466, 0.750], [0.078, 0.922, 0.250], [0.366, 0.634, 0.053], [0.366, 0.634, 0.447], [0.634, 0.366, 0.553], [0.634, 0.366, 0.947], [0.922, 0.078, 0.750]],
  "final_energy_ev_per_cell": -47.105
}

=====

[12]
{
  "formula": "HoScS3",
  "functional": "PBE",
  "state": "optimized geometry",
  "cell": [[6.992, 0.000, 0.000], [0.000, 9.510, 0.000], [0.000, 0.000, 6.355]],
  "species": ["Ho", "Ho", "Ho", "Ho", "Sc", "Sc", "Sc", "Sc", "S", "S", "S", "S", "S", "S", "S", "S", "S", "S", "S", "S"],
  "frac_coords": [[0.102, 0.250, 0.042], [0.398, 0.750, 0.542], [0.602, 0.250, 0.458], [0.898, 0.750, 0.958], [0.000, 0.000, 0.500], [0.000, 0.500, 0.500], [0.500, 0.000, 0.000], [0.500, 0.500, 0.000], [0.049, 0.750, 0.353], [0.184, 0.572, 0.825], [0.184, 0.928, 0.825], [0.316, 0.072, 0.325], [0.316, 0.428, 0.325], [0.451, 0.250, 0.853], [0.549, 0.750, 0.147], [0.684, 0.572, 0.675], [0.684, 0.928, 0.675], [0.816, 0.072, 0.175], [0.816, 0.428, 0.175], [0.951, 0.250, 0.647]],
  "final_energy_ev_per_cell": -132.852
}